VASP calculation (GGA-PBE) on a geometry-optimized YCuMo2 structure.

The space group is P4/mmm (No. 123) and the conventional cell measures 3.376, 3.376 and 6.561 Å, with angles of 90.00, 90.00 and 90.00 degrees. The inequivalent atoms are Y at (0.000, 0.000, 0.000), Cu at (0.000, 0.000, 0.500) and Mo at (0.500, 0.500, 0.325).

Its formation energy is 0.398 eV per atom. Its density of states at the Fermi level is 4.92 states/eV/cell. As for the total energy: -7.66 eV/atom.